Entry 1:
The following is a PBE calculation of a geometry-optimized SrMg2Ag structure, from the Alexandria database.

Its energy is -15.47 eV for the cell shown. Its crystal system is tetragonal. The value obtained for the formation energy is -0.01 eV/f.u. The calculated volume is 25.99 Å³/atom. The value obtained for the density of states at the Fermi level is 5.995 states/eV per cell.

Unit cell a=4.9478 b=4.9478 c=8.4927 alpha=90.00 beta=90.00 gamma=90.00
Space group I4/mmm (No. 139)
Inequivalent atoms, fractional coordinates:
Sr: 0.0000 0.0000 0.0000 [2 per cell]
Mg: 0.0000 0.5000 0.2500 [4 per cell]
Ag: 0.0000 0.0000 0.5000 [2 per cell]

=====

Entry 2:
The following is a PBE calculation of a geometry-optimized Th2Zn15Tc2 structure, from the Alexandria database.

Its energy is -173.89 eV for the cell shown. Its crystal system is trigonal. The value obtained for the formation energy is -3.28 eV/f.u. The calculated volume is 16.35 Å³/atom. The value obtained for the density of states at the Fermi level is 29.122 states/eV per cell.

Unit cell a=9.0982 b=9.0982 c=13.0024 alpha=90.00 beta=90.00 gamma=120.00
Space group R-3m (No. 166, hexagonal axes)
Inequivalent atoms, fractional coordinates:
Th: 0.0000 0.0000 0.1605 [6 per cell]
Zn: 0.0000 0.2857 0.5000 [18 per cell]
Zn: 0.0000 0.5000 0.0000 [9 per cell]
Zn: 0.0011 0.5006 0.3482 [18 per cell]
Tc: 0.0000 0.0000 0.4040 [6 per cell]

=====

Entry 3:
The following is a PBE calculation of a geometry-optimized KYCd structure, from the Alexandria database.

Its energy is -16.52 eV for the cell shown. Its crystal system is tetragonal. The value obtained for the energy above the most stable polymorph in this dataset is 0 meV per atom. The value obtained for the formation energy is 0.21 eV/f.u. The calculated volume is 37.00 Å³/atom. The value obtained for the density of states at the Fermi level is 4.384 states/eV per cell.

Unit cell a=3.7894 b=3.7894 c=15.4601 alpha=90.00 beta=90.00 gamma=90.00
Space group I4mm (No. 107)
Inequivalent atoms, fractional coordinates:
K: 0.0000 0.0000 0.0000 [2 per cell]
Y: 0.0000 0.0000 0.2747 [2 per cell]
Cd: 0.0000 0.0000 0.6713 [2 per cell]

=====

Entry 4:
The following is a PBE calculation of a geometry-optimized ErHfBeZn structure, from the Alexandria database.

Its energy is -78.61 eV for the cell shown. Its crystal system is cubic. The value obtained for the formation energy is -0.14 eV/f.u. The calculated volume is 18.56 Å³/atom. The value obtained for the density of states at the Fermi level is 17.062 states/eV per cell.

Unit cell a=6.6717 b=6.6717 c=6.6717 alpha=90.00 beta=90.00 gamma=90.00
Space group F-43m (No. 216)
Inequivalent atoms, fractional coordinates:
Er: 0.0000 0.0000 0.0000 [4 per cell]
Hf: 0.0000 0.0000 0.5000 [4 per cell]
Be: 0.2500 0.2500 0.7500 [4 per cell]
Zn: 0.2500 0.2500 0.2500 [4 per cell]